# Na3MoAu

A relaxed structure of Na3MoAu (GGA-PBE, Alexandria via LeMat-Bulk).

Summary:
For the density of states at the Fermi level, the calculation gives 6.7 states/eV per cell. For the energy above the most stable polymorph in this dataset, the calculation gives 37.4 kJ/mol of atoms. For the formation energy, the calculation gives 1.287 eV/atom. As for the total DFT energy (no corrections): -2.33 eV per atom. Its space-group type is Pm-3m.

a b c (Å): 5.8738 5.8738 5.8738
angles (deg): 90.00 90.00 90.00
With the nearest neighbours (Å) after each atom.
Atoms (fractional coordinates):
Na  0.0000  0.0000  0.5000  2 Mo 2.94
Na  0.0000  0.5000  0.0000  2 Mo 2.94
Na  0.5000  0.0000  0.0000  2 Mo 2.94
Mo  0.0000  0.0000  0.0000  6 Na 2.94
Au  0.5000  0.5000  0.5000  12 Na 4.15

---

# CeNdSm2Tl4

A relaxed structure of CeNdSm2Tl4 (GGA-PBE, Alexandria via LeMat-Bulk).

Summary:
For the density of states at the Fermi level, the calculation gives 12.7 states/eV per cell. For the formation energy, the calculation gives -0.336 eV/atom. As for the total DFT energy (no corrections): -4.04 eV per atom. Its space-group type is R-3m.

a b c (Å): 9.5275 9.5275 9.5275
angles (deg): 33.51 33.51 33.51
With the nearest neighbours (Å) after each atom.
Atoms (fractional coordinates):
Ce  0.0000  0.0000  0.0000  8 Tl 3.36-3.37
Nd  0.5000  0.5000  0.5000  8 Tl 3.36-3.37
Sm  0.2498  0.2498  0.2498  8 Tl 3.36-3.37
Sm  0.7502  0.7502  0.7502  8 Tl 3.36-3.37
Tl  0.1249  0.1249  0.1249  4 Sm 3.36-3.37, 3 Nd 3.36, 1 Ce 3.37
Tl  0.3749  0.3749  0.3749  3 Ce 3.36, 4 Sm 3.37, 1 Nd 3.37
Tl  0.6251  0.6251  0.6251  3 Ce 3.36, 4 Sm 3.37, 1 Nd 3.37
Tl  0.8751  0.8751  0.8751  4 Sm 3.36-3.37, 3 Nd 3.36, 1 Ce 3.37

---

# BeZnO2

A relaxed structure of BeZnO2 (GGA-PBE, Alexandria via LeMat-Bulk).

Summary:
For the density of states at the Fermi level, the calculation gives 0.0 states/eV per cell. As for the total DFT energy (no corrections): -4.49 eV per atom. For the uncorrected formation energy, the calculation gives -0.760 eV per atom. Its space-group type is Fm-3m.

a b c (Å): 3.6127 3.6127 3.6127
angles (deg): 60.00 60.00 60.00
With the nearest neighbours (Å) after each atom.
Atoms (fractional coordinates):
Be  0.0000  0.0000  0.0000  8 O 2.21
Zn  0.5000  0.5000  0.5000  8 O 2.21
O  0.2500  0.2500  0.2500  4 Zn 2.21, 4 Be 2.21
O  0.7500  0.7500  0.7500  4 Be 2.21, 4 Zn 2.21

---

# YZr2P

A relaxed structure of YZr2P (GGA-PBE, Alexandria via LeMat-Bulk).

Summary:
For the density of states at the Fermi level, the calculation gives 2.9 states/eV per cell. For the formation energy, the calculation gives -0.571 eV/atom. As for the total DFT energy (no corrections): -7.81 eV per atom. Its space-group type is Amm2.

a b c (Å): 3.8717 6.0118 6.0118
angles (deg): 39.81 90.00 90.00
With the nearest neighbours (Å) after each atom.
Atoms (fractional coordinates):
Y  0.0000  0.0000  0.0000  4 P 2.88, 3 Zr 3.16-3.22
Zr  0.0000  0.7202  0.7202  2 P 2.71, 4 Zr 2.97
Zr  0.5000  0.3028  0.3028  1 P 2.83, 4 Zr 2.97
P  0.5000  0.5528  0.5528  3 Zr 2.71-2.83, 4 Y 2.88

---

# CsZnSb3

A relaxed structure of CsZnSb3 (GGA-PBE, Alexandria via LeMat-Bulk).

Summary:
For the density of states at the Fermi level, the calculation gives 3.2 states/eV per cell. For the energy above the most stable polymorph in this dataset, the calculation gives 29.3 kJ/mol of atoms. As for the total DFT energy (no corrections): -2.72 eV per atom. For the uncorrected formation energy, the calculation gives 0.176 eV per atom. Its space-group type is Pm-3m.

a b c (Å): 5.5044 5.5044 5.5044
angles (deg): 90.00 90.00 90.00
With the nearest neighbours (Å) after each atom.
Atoms (fractional coordinates):
Cs  0.0000  0.0000  0.0000  12 Sb 3.89
Zn  0.5000  0.5000  0.5000  6 Sb 2.75
Sb  0.0000  0.5000  0.5000  2 Zn 2.75
Sb  0.5000  0.0000  0.5000  2 Zn 2.75
Sb  0.5000  0.5000  0.0000  2 Zn 2.75

---

# ZrCrHg2Os

A relaxed structure of ZrCrHg2Os (GGA-PBE, Alexandria via LeMat-Bulk).

Summary:
For the density of states at the Fermi level, the calculation gives 3.5 states/eV per cell. For the formation energy, the calculation gives 0.950 eV/atom. As for the total DFT energy (no corrections): -5.05 eV per atom. Its space-group type is P4/mmm.

a b c (Å): 5.2677 5.2677 4.8635
angles (deg): 90.00 90.00 90.00
With the nearest neighbours (Å) after each atom.
Atoms (fractional coordinates):
Zr  0.0000  0.0000  0.0000  2 Os 2.43
Cr  0.5000  0.5000  0.0000  8 Hg 3.58, 4 Zr 3.72
Hg  0.0000  0.5000  0.5000  2 Os 2.63
Hg  0.5000  0.0000  0.5000  2 Os 2.63
Os  0.0000  0.0000  0.5000  2 Zr 2.43, 4 Hg 2.63

---

# Li2Ho8Tl

A relaxed structure of Li2Ho8Tl (GGA-PBE, Alexandria via LeMat-Bulk).

Summary:
For the density of states at the Fermi level, the calculation gives 9.7 states/eV per cell. For the formation energy, the calculation gives 0.033 eV/atom. As for the total DFT energy (no corrections): -3.86 eV per atom. Its space-group type is C2/m.

a b c (Å): 9.1204 9.1204 7.1084
angles (deg): 108.03 108.03 33.53
With the nearest neighbours (Å) after each atom.
Atoms (fractional coordinates):
Li  0.1823  0.1823  0.1919  3 Ho 2.77-2.89
Li  0.8177  0.8177  0.8081  3 Ho 2.77-2.89
Ho  0.0292  0.0292  0.2674  1 Li 2.89, 2 Tl 3.23
Ho  0.1908  0.1908  0.7968  1 Li 2.86
Ho  0.3230  0.3230  0.5163  1 Li 2.77
Ho  0.4052  0.4052  0.0296  2 Li 3.19, 1 Tl 3.22, 7 Ho 3.46-3.57
Ho  0.5948  0.5948  0.9704  2 Li 3.19, 1 Tl 3.22, 7 Ho 3.46-3.57
Ho  0.6770  0.6770  0.4837  1 Li 2.77
Ho  0.8092  0.8092  0.2032  1 Li 2.86
Ho  0.9708  0.9708  0.7326  1 Li 2.89, 2 Tl 3.23
Tl  0.5000  0.5000  0.5000  8 Ho 3.13-3.23

---

# ScZnGa3

A relaxed structure of ScZnGa3 (GGA-PBE, Alexandria via LeMat-Bulk).

Summary:
For the density of states at the Fermi level, the calculation gives 5.2 states/eV per cell. For the formation energy, the calculation gives -0.269 eV/atom. As for the total DFT energy (no corrections): -3.61 eV per atom. Its space-group type is Cmmm.

a b c (Å): 11.5969 11.5969 3.9128
angles (deg): 90.00 90.00 159.47
With the nearest neighbours (Å) after each atom.
Atoms (fractional coordinates):
Sc  0.1692  0.8308  0.0000  4 Zn 3.05, 10 Ga 3.10-3.35
Sc  0.8308  0.1692  0.0000  4 Zn 3.05, 10 Ga 3.10-3.35
Zn  0.3795  0.6205  0.5000  5 Ga 2.35-2.55
Zn  0.6205  0.3795  0.5000  5 Ga 2.35-2.55
Ga  0.0554  0.9446  0.5000  1 Ga 2.53, 2 Zn 2.55
Ga  0.2766  0.7234  0.5000  1 Zn 2.35, 2 Ga 2.40
Ga  0.4463  0.5537  0.0000  1 Ga 2.45, 2 Zn 2.48
Ga  0.5537  0.4463  0.0000  1 Ga 2.45, 2 Zn 2.48
Ga  0.7234  0.2766  0.5000  1 Zn 2.35, 2 Ga 2.40
Ga  0.9446  0.0554  0.5000  1 Ga 2.53, 2 Zn 2.55